Entry 1:
10
Lattice="-6.626 4.944 -0.203 -1.806 -2.733 -7.593 -1.760 -2.307 1.249" Properties=species:S:1:pos:R:3 comment="PBE CsSc2Co2, relaxed" total_magnetization_mub_per_fu=0.00 ef_ev_per_atom=0.434 dft_energy_ry_per_atom=-0.376 pbc="T T T"
Cs 0.000 0.000 0.000
Cs -4.216 1.106 -3.898
Sc -4.045 -0.542 -6.702
Sc -6.915 2.600 -4.940
Sc -4.387 2.753 -1.094
Sc -1.517 -0.389 -2.855
Co -2.841 -2.242 -4.150
Co -6.604 -0.451 -6.143
Co -7.351 2.147 -2.397
Co -3.588 0.355 -0.404

---

Entry 2:
7
Lattice="-1.460 -2.835 -4.268 5.117 -0.588 -1.360 2.123 -6.921 0.546" Properties=species:S:1:pos:R:3 comment="PBE CsSc4Co2, relaxed" total_magnetization_mub_per_fu=0.00 ef_ev_per_atom=0.973 dft_energy_ry_per_atom=-0.353 pbc="T T T"
Cs 0.000 0.000 0.000
Sc 3.802 -5.978 -3.980
Sc 1.979 -4.365 -1.102
Sc 2.559 -0.294 -0.680
Sc -0.730 -1.417 -2.134
Co 3.900 -7.706 -2.866
Co 1.881 -2.638 -2.216

---

Entry 3:
16
Lattice="-5.522 -0.368 2.350 -0.538 -5.863 5.509 0.687 8.368 10.613" Properties=species:S:1:pos:R:3 comment="PBE Cs2ScCoSe4, relaxed" total_magnetization_mub_per_fu=3.90 dft_energy_ry_per_atom=-0.342 raw_formation_energy_ev_per_atom=-1.012 pbc="T T T"
Cs -0.535 5.337 7.268
Cs -4.300 2.663 5.695
Cs -2.846 4.007 13.169
Cs -5.290 -2.054 6.479
Sc -4.068 0.977 9.824
Sc 0.000 0.000 0.000
Co -1.306 1.160 8.649
Co -2.761 -0.184 1.175
Se -2.124 -4.014 6.301
Se -0.763 6.316 11.113
Se -4.630 2.437 16.041
Se -3.231 -0.466 3.491
Se -2.482 -0.873 9.032
Se -2.618 3.028 9.324
Se -4.812 0.676 12.257
Se -0.837 1.443 6.333

---

Entry 4:
5
Lattice="-2.540 -2.989 -3.580 4.084 -1.422 -1.710 0.005 -4.078 3.402" Properties=species:S:1:pos:R:3 comment="PBE CsSc2TlCo, relaxed" total_magnetization_mub_per_fu=0.34 ef_ev_per_atom=1.498 dft_energy_ry_per_atom=-0.228 pbc="T T T"
Cs 0.000 0.000 0.000
Sc 0.002 -2.039 1.701
Sc -1.270 -1.494 -1.790
Tl 0.774 -4.244 -0.944
Co 2.042 -0.711 -0.855

---

Entry 5:
5
Lattice="5.585 0.000 0.000 0.000 5.585 0.000 0.000 0.000 5.139" Properties=species:S:1:pos:R:3 comment="PBE CsY2ScCo, relaxed" total_magnetization_mub_per_fu=1.70 ef_ev_per_atom=1.799 dft_energy_ry_per_atom=-0.268 pbc="T T T"
Cs 0.000 0.000 0.000
Y 0.000 2.792 0.000
Y 2.792 0.000 0.000
Co 2.792 2.792 2.569
Sc 0.000 0.000 2.569

---

Entry 6:
8
Lattice="-1.580 -4.445 -2.132 4.367 -0.223 -2.771 4.794 -6.264 3.223" Properties=species:S:1:pos:R:3 comment="PBE CsCo2Se, relaxed" total_magnetization_mub_per_fu=2.64 dft_energy_ry_per_atom=-0.322 raw_formation_energy_ev_per_atom=0.262 pbc="T T T"
Cs 0.000 0.000 0.000
Cs 2.304 -6.522 -0.681
Co 1.152 -3.261 -0.340
Co 3.336 -3.372 -1.726
Co 5.732 -6.504 -0.114
Co 4.943 -8.727 -1.181
Se 1.394 -2.334 -2.452
Se 5.277 -4.411 -1.000

---

Entry 7:
13
Lattice="6.501 0.005 2.164 2.886 5.824 2.164 0.266 0.166 9.793" Properties=species:S:1:pos:R:3 comment="PBE CsCo4Se8, relaxed" total_magnetization_mub_per_fu=0.00 dft_energy_ry_per_atom=-0.354 raw_formation_energy_ev_per_atom=-0.414 pbc="T T T"
Cs 4.827 2.997 7.061
Co 3.250 0.002 1.082
Co 4.694 2.914 2.164
Co 1.443 2.912 1.082
Co 0.000 0.000 0.000
Se 5.972 1.688 3.751
Se 5.492 1.390 10.371
Se 3.681 4.306 10.371
Se 2.237 1.389 9.285
Se 2.717 1.687 2.681
Se 6.936 4.307 11.440
Se 7.416 4.605 4.837
Se 4.161 4.604 3.751

---

Entry 8:
8
Lattice="-5.772 7.470 -4.308 -2.503 -4.061 -3.689 -0.878 -4.610 5.679" Properties=species:S:1:pos:R:3 comment="PBE CsCoSe2, relaxed" total_magnetization_mub_per_fu=0.94 dft_energy_ry_per_atom=-0.316 raw_formation_energy_ev_per_atom=-0.574 pbc="T T T"
Cs -3.325 1.430 0.686
Cs -1.690 -4.336 0.995
Co -3.512 2.720 -3.077
Co -4.762 0.688 -4.920
Se -4.333 0.631 -2.683
Se -4.427 4.404 -1.844
Se -4.725 -5.605 -0.474
Se -4.820 -1.833 0.366

---

Entry 9:
8
Lattice="7.417 0.000 0.000 0.000 7.417 0.000 3.708 3.708 4.294" Properties=species:S:1:pos:R:3 comment="PBE CsCoSe2, relaxed" total_magnetization_mub_per_fu=0.00 dft_energy_ry_per_atom=-0.314 raw_formation_energy_ev_per_atom=-0.543 pbc="T T T"
Cs 0.000 0.000 0.000
Cs 7.417 3.708 2.147
Co 3.708 3.708 0.000
Co 3.708 7.417 2.147
Se 4.485 1.854 1.074
Se 2.932 5.563 1.074
Se 5.563 6.641 3.221
Se 9.271 8.193 3.221

---

Entry 10:
5
Lattice="6.954 0.000 0.000 0.000 6.954 0.000 0.000 0.000 6.954" Properties=species:S:1:pos:R:3 comment="PBE Cs3CoSe, relaxed" total_magnetization_mub_per_fu=2.00 dft_energy_ry_per_atom=-0.189 raw_formation_energy_ev_per_atom=0.060 pbc="T T T"
Cs 0.000 3.477 0.000
Cs 0.000 0.000 3.477
Cs 3.477 0.000 0.000
Co 3.477 3.477 3.477
Se 0.000 0.000 0.000

---

Entry 11:
4
Lattice="-1.272 2.759 -2.245 -3.071 -0.561 -2.128 -4.552 2.673 5.861" Properties=species:S:1:pos:R:3 comment="PBE CsCoSe2, relaxed" total_magnetization_mub_per_fu=0.00 dft_energy_ry_per_atom=-0.309 raw_formation_energy_ev_per_atom=-0.478 pbc="T T T"
Cs -5.370 4.258 3.652
Co -3.095 2.921 0.721
Se -5.378 2.015 0.902
Se -2.610 0.506 0.658

---

Entry 12:
16
Lattice="6.245 0.000 0.000 3.122 7.604 0.000 3.122 0.000 12.607" Properties=species:S:1:pos:R:3 comment="PBE Cs2CoTeSe4, relaxed" total_magnetization_mub_per_fu=3.00 dft_energy_ry_per_atom=-0.270 raw_formation_energy_ev_per_atom=-0.438 pbc="T T T"
Cs 3.122 0.000 8.042
Cs 6.245 0.000 4.565
Cs 7.806 3.802 10.869
Cs 7.806 3.802 1.738
Co 4.683 3.802 6.304
Co 3.122 0.000 0.000
Te 7.806 3.802 6.304
Te 0.000 0.000 0.000
Se 4.879 6.178 1.476
Se 4.879 1.425 11.131
Se 10.732 6.178 11.131
Se 4.488 1.425 1.476
Se 6.049 5.227 4.828
Se 6.049 2.376 7.779
Se 9.562 5.227 7.779
Se 3.318 2.376 4.828

---

Entry 13:
12
Lattice="3.987 0.000 0.000 0.000 9.890 0.226 0.000 -4.505 9.005" Properties=species:S:1:pos:R:3 comment="PBE CsUCoSe3, relaxed" total_magnetization_mub_per_fu=3.39 dft_energy_ry_per_atom=-0.434 raw_formation_energy_ev_per_atom=-0.956 pbc="T T T"
Cs 0.997 1.008 2.272
Cs 2.990 4.378 6.959
U 0.997 6.023 1.608
U 2.990 -0.638 7.624
Co 0.997 -1.856 5.364
Co 2.990 7.241 3.868
Se 2.990 8.002 1.544
Se 0.997 -2.617 7.688
Se 0.997 5.983 4.397
Se 2.990 -0.598 4.835
Se 2.990 3.964 1.497
Se 0.997 1.421 7.735

---

Entry 14:
14
Lattice="6.712 0.000 0.004 0.000 6.058 0.000 -2.592 0.000 9.526" Properties=species:S:1:pos:R:3 comment="PBE CsUCoSe4, relaxed" total_magnetization_mub_per_fu=1.00 dft_energy_ry_per_atom=-0.411 raw_formation_energy_ev_per_atom=-0.845 pbc="T T T"
Cs 2.613 4.544 9.102
Cs 1.507 1.515 0.428
U 3.815 4.544 4.325
U 0.305 1.515 5.205
Co 0.668 4.544 3.502
Co 3.452 1.515 6.028
Se -1.695 3.068 6.595
Se 5.815 0.039 2.935
Se 5.815 2.990 2.935
Se -1.695 6.019 6.595
Se 2.437 4.544 1.984
Se 1.683 1.515 7.546
Se 1.373 4.544 5.649
Se 2.747 1.515 3.881

---

Entry 15:
15
Lattice="8.205 0.000 0.000 -4.103 7.109 -0.031 0.000 -4.707 8.606" Properties=species:S:1:pos:R:3 comment="PBE Cs3U3CoSe8, relaxed" total_magnetization_mub_per_fu=8.53 dft_energy_ry_per_atom=-0.426 raw_formation_energy_ev_per_atom=-1.030 pbc="T T T"
Cs 0.000 0.000 0.000
Cs -2.051 3.554 -0.015
Cs 2.051 3.554 -0.015
U 4.103 -2.354 4.303
U 2.051 1.201 4.288
U -2.051 1.201 4.288
Co 0.000 -2.354 4.303
Se 0.000 2.379 2.652
Se 4.103 0.023 5.924
Se 4.103 2.455 2.779
Se 0.000 -0.053 5.797
Se 6.220 -1.213 2.795
Se -2.118 3.615 5.780
Se 1.985 -1.213 2.795
Se 2.118 3.615 5.780

---

Entry 16:
10
Lattice="-7.254 -1.448 -0.638 0.764 -5.829 4.535 -4.224 -0.552 6.081" Properties=species:S:1:pos:R:3 comment="PBE Cs2UCoSe6, relaxed" total_magnetization_mub_per_fu=4.09 dft_energy_ry_per_atom=-0.353 raw_formation_energy_ev_per_atom=-0.705 pbc="T T T"
Cs -3.353 -5.009 6.282
Cs -7.362 -2.819 3.695
U 0.000 0.000 0.000
Co -3.245 -3.638 1.948
Se -1.289 -4.707 3.210
Se -4.828 -5.413 2.899
Se -3.723 -2.132 3.964
Se -5.201 -2.569 0.686
Se -1.662 -1.863 0.998
Se -6.991 -5.695 6.013

---

Entry 17:
16
Lattice="-2.501 -5.625 -0.584 1.933 -4.911 6.293 -12.225 1.378 6.350" Properties=species:S:1:pos:R:3 comment="PBE Cs2UCoSe4, relaxed" total_magnetization_mub_per_fu=1.00 dft_energy_ry_per_atom=-0.374 raw_formation_energy_ev_per_atom=-0.829 pbc="T T T"
Cs -8.312 -0.116 3.982
Cs -6.414 -4.131 1.784
Cs -10.934 -4.491 8.251
Cs -3.109 -7.479 3.516
U -7.022 -5.985 5.883
U 0.000 0.000 0.000
Co -5.771 -3.173 6.175
Co -1.250 -2.812 -0.292
Se -0.516 -5.656 5.535
Se -11.183 -1.042 6.779
Se -11.578 -7.599 10.263
Se -2.309 -4.018 1.540
Se -4.572 -5.240 6.641
Se -8.064 -3.565 5.454
Se -8.237 -7.544 7.679
Se -4.713 -1.967 4.343

---

Entry 18:
12
Lattice="3.721 0.000 0.000 0.000 9.175 -0.285 0.000 -4.638 8.927" Properties=species:S:1:pos:R:3 comment="PBE CsVCoSe3, relaxed" total_magnetization_mub_per_fu=0.52 dft_energy_ry_per_atom=-0.390 raw_formation_energy_ev_per_atom=-0.723 pbc="T T T"
Cs 0.930 1.097 2.243
Cs 2.790 3.441 6.398
V 0.930 5.655 1.294
V 2.790 -1.117 7.348
Co 0.930 -2.025 5.370
Co 2.790 6.563 3.272
Se 2.790 7.343 1.052
Se 0.930 -2.805 7.590
Se 0.930 5.156 3.724
Se 2.790 -0.618 4.917
Se 2.790 3.846 1.007
Se 0.930 0.691 7.635

---

Entry 19:
12
Lattice="6.439 0.000 0.000 3.219 5.576 0.000 3.219 1.859 9.889" Properties=species:S:1:pos:R:3 comment="PBE CsCoW2Se8, relaxed" total_magnetization_mub_per_fu=0.00 dft_energy_ry_per_atom=-0.400 raw_formation_energy_ev_per_atom=-0.303 pbc="T T T"
Cs 6.439 3.717 4.945
Co 0.000 0.000 0.000
W 3.219 1.859 2.109
W 9.658 5.576 7.781
Se 3.219 1.859 4.428
Se 5.476 1.706 1.437
Se 9.658 5.576 5.461
Se 8.662 3.889 1.437
Se 4.215 3.546 8.453
Se 5.178 5.557 1.437
Se 7.699 1.878 8.453
Se 7.402 5.729 8.453

---

Entry 20:
5
Lattice="-3.724 -1.907 2.100 2.292 0.019 4.082 -1.671 4.275 0.918" Properties=species:S:1:pos:R:3 comment="PBE CsCoSi3, relaxed" total_magnetization_mub_per_fu=1.65 dft_energy_ry_per_atom=-0.315 raw_formation_energy_ev_per_atom=0.554 pbc="T T T"
Cs -1.552 1.194 3.550
Co 0.000 0.000 0.000
Si 1.146 0.010 2.041
Si -0.836 2.138 0.459
Si -1.862 -0.953 1.050